Density functional theory data (PBE) for BaO after structural relaxation.

Output
V, Å³ per atom: 25.78
Theoretical density, g cm⁻³: 4.94
Space-group type: P6_3/mmc, No. 194
DOS(E_F), states/eV per cell: 0.000
E_form (uncorrected), meV/atom: -2463.0
Total magnetic moment, μB/atom: 0.00

Unit cell a=4.5930 b=4.5930 c=5.6438 alpha=90.00 beta=90.00 gamma=120.00
Fractional positions:
Ba (0.3333, 0.6667, 0.2500)
Ba (0.6667, 0.3333, 0.7500)
O (0.3333, 0.6667, 0.7500)
O (0.6667, 0.3333, 0.2500)


Density functional theory data (PBE) for Hf2Be2Tc after structural relaxation.

Output
V, Å³ per atom: 14.76
Theoretical density, g cm⁻³: 10.64
Formation energy, eV/atom: -0.26
Space-group type: P4/mbm, No. 127
DOS(E_F), states/eV per cell: 11.707
Total magnetic moment, μB/atom: 0.00

Unit cell a=6.4801 b=6.4801 c=3.5153 alpha=90.00 beta=90.00 gamma=90.00
Fractional positions:
Hf (0.1834, 0.3166, 0.0000)
Hf (0.3166, 0.8166, 0.0000)
Hf (0.6834, 0.1834, 0.0000)
Hf (0.8166, 0.6834, 0.0000)
Be (0.1150, 0.6150, 0.5000)
Be (0.3850, 0.1150, 0.5000)
Be (0.6150, 0.8850, 0.5000)
Be (0.8850, 0.3850, 0.5000)
Tc (0.0000, 0.0000, 0.5000)
Tc (0.5000, 0.5000, 0.5000)


Density functional theory data (PBE) for YErBiO2 after structural relaxation.

Output
V, Å³ per atom: 20.35
Theoretical density, g cm⁻³: 8.11
Space-group type: I4mm, No. 107
DOS(E_F), states/eV per cell: 1.470
E_form (uncorrected), meV/atom: -2677.1
Total magnetic moment, μB/atom: 0.00

Unit cell a=7.3031 b=7.3031 c=7.3031 alpha=149.21 beta=149.21 gamma=44.10
Fractional positions:
Y (0.0000, 0.0000, 0.0000)
Er (0.6623, 0.6623, 0.0000)
Bi (0.3312, 0.3312, 0.0000)
O (0.0836, 0.5836, 0.5000)
O (0.5836, 0.0836, 0.5000)


Density functional theory data (PBE) for TaHSe3 after structural relaxation.

Output
V, Å³ per atom: 20.77
Theoretical density, g cm⁻³: 6.70
Space-group type: R-3, No. 148
DOS(E_F), states/eV per cell: 2.805
Total magnetic moment, μB/atom: 0.00
Energy above the lowest structure with this stoichiometry, meV/atom: 0.0

Unit cell a=7.3407 b=7.3407 c=7.3407 alpha=49.12 beta=49.12 gamma=49.12
Fractional positions:
Ta (0.1667, 0.1667, 0.1667)
Ta (0.8333, 0.8333, 0.8333)
H (0.4283, 0.4283, 0.4283)
H (0.5717, 0.5717, 0.5717)
Se (0.0945, 0.4190, 0.7444)
Se (0.2556, 0.9055, 0.5810)
Se (0.4190, 0.7444, 0.0945)
Se (0.5810, 0.2556, 0.9055)
Se (0.7444, 0.0945, 0.4190)
Se (0.9055, 0.5810, 0.2556)


Density functional theory data (PBE) for ScOsOF2 after structural relaxation.

Output
V, Å³ per atom: 14.12
Theoretical density, g cm⁻³: 6.80
Space-group type: P4/mmm, No. 123
DOS(E_F), states/eV per cell: 3.879
E_form (uncorrected), meV/atom: -1242.6
Total magnetic moment, μB/atom: 0.73
Energy above the lowest structure with this stoichiometry, meV/atom: 0.0

Unit cell a=4.1191 b=4.1191 c=4.1622 alpha=90.00 beta=90.00 gamma=90.00
Fractional positions:
Sc (0.0000, 0.0000, 0.0000)
Os (0.5000, 0.5000, 0.5000)
O (0.0000, 0.0000, 0.5000)
F (0.0000, 0.5000, 0.0000)
F (0.5000, 0.0000, 0.0000)


Density functional theory data (PBE) for Er7Tl5Hg after structural relaxation.

Output
V, Å³ per atom: 28.68
Theoretical density, g cm⁻³: 10.66
Formation energy, eV/atom: -0.12
Space-group type: Imm2, No. 44
DOS(E_F), states/eV per cell: 11.665
Total magnetic moment, μB/atom: 0.00

Unit cell a=8.1899 b=8.1899 c=8.1899 alpha=132.03 beta=99.21 gamma=99.81
Fractional positions:
Er (0.0000, 0.0000, 0.0000)
Er (0.3082, 0.6260, 0.6822)
Er (0.3583, 0.3583, 0.0000)
Er (0.4308, 0.1085, 0.3223)
Er (0.7862, 0.1085, 0.6777)
Er (0.8598, 0.3598, 0.5000)
Er (0.9438, 0.6260, 0.3178)
Tl (0.1035, 0.1139, 0.4817)
Tl (0.1035, 0.6218, 0.9896)
Tl (0.3660, 0.8660, 0.5000)
Tl (0.6323, 0.1139, 0.0104)
Tl (0.6323, 0.6218, 0.5183)
Hg (0.6565, 0.6565, 0.0000)


Density functional theory data (PBE) for BaNaSiPd2 after structural relaxation.

Output
V, Å³ per atom: 33.29
Theoretical density, g cm⁻³: 4.00
Space-group type: P4/mmm, No. 123
DOS(E_F), states/eV per cell: 3.271
E_form (uncorrected), meV/atom: 1145.3
Total magnetic moment, μB/atom: 0.00

Unit cell a=5.3424 b=5.3424 c=5.8311 alpha=90.00 beta=90.00 gamma=90.00
Fractional positions:
Ba (0.0000, 0.0000, 0.0000)
Na (0.0000, 0.0000, 0.5000)
Si (0.5000, 0.5000, 0.5000)
Pd (0.0000, 0.5000, 0.0000)
Pd (0.5000, 0.0000, 0.0000)


Density functional theory data (PBE) for SrTaNi2Sn after structural relaxation.

Output
V, Å³ per atom: 23.29
Theoretical density, g cm⁻³: 7.20
Formation energy, eV/atom: 1.91
Space-group type: P4/mmm, No. 123
DOS(E_F), states/eV per cell: 6.171
Total magnetic moment, μB/atom: 0.00

Unit cell a=4.5277 b=4.5277 c=5.6799 alpha=90.00 beta=90.00 gamma=90.00
Fractional positions:
Sr (0.0000, 0.0000, 0.0000)
Ta (0.5000, 0.5000, 0.5000)
Ni (0.0000, 0.5000, 0.0000)
Ni (0.5000, 0.0000, 0.0000)
Sn (0.0000, 0.0000, 0.5000)


Look up the V of the eighth one. 23.29 Å³ per atom


Which of these has the lowest theoretical density? BaNaSiPd2